The following is a DFT calculation (GGA-PBE) of a relaxed structure of AcThAgBi.

Cell lengths 7.927, 7.927, 7.927 Å; angles 90.00, 90.00, 90.00 degrees
Atoms (fractional coordinates):
Ac  0.000  0.000  0.000
Ac  0.000  0.500  0.500
Ac  0.500  0.000  0.500
Ac  0.500  0.500  0.000
Th  0.000  0.000  0.500
Th  0.000  0.500  0.000
Th  0.500  0.000  0.000
Th  0.500  0.500  0.500
Ag  0.250  0.250  0.250
Ag  0.250  0.750  0.750
Ag  0.750  0.250  0.750
Ag  0.750  0.750  0.250
Bi  0.250  0.250  0.750
Bi  0.250  0.750  0.250
Bi  0.750  0.250  0.250
Bi  0.750  0.750  0.750


The following is a DFT calculation (GGA-PBE) of a relaxed structure of AcTl2AgBi2.

Cell lengths 4.991, 10.235, 7.978 Å; angles 90.00, 90.00, 90.00 degrees
Atoms (fractional coordinates):
Ac  0.000  0.040  0.000
Ac  0.000  0.960  0.500
Tl  0.000  0.365  0.329
Tl  0.000  0.635  0.829
Tl  0.500  0.388  0.993
Tl  0.500  0.612  0.493
Ag  0.500  0.150  0.684
Ag  0.500  0.850  0.184
Bi  0.000  0.299  0.729
Bi  0.000  0.701  0.229
Bi  0.500  0.133  0.280
Bi  0.500  0.867  0.780


The following is a DFT calculation (GGA-PBE) of a relaxed structure of AcZnAgBi.

Cell lengths 7.538, 7.538, 7.538 Å; angles 90.00, 90.00, 90.00 degrees
Atoms (fractional coordinates):
Ac  0.000  0.000  0.000
Ac  0.000  0.500  0.500
Ac  0.500  0.000  0.500
Ac  0.500  0.500  0.000
Zn  0.250  0.250  0.750
Zn  0.250  0.750  0.250
Zn  0.750  0.250  0.250
Zn  0.750  0.750  0.750
Ag  0.250  0.250  0.250
Ag  0.250  0.750  0.750
Ag  0.750  0.250  0.750
Ag  0.750  0.750  0.250
Bi  0.000  0.000  0.500
Bi  0.000  0.500  0.000
Bi  0.500  0.000  0.000
Bi  0.500  0.500  0.500


no.,calculated total energy (eV per cell),total magnetization (μB per formula unit)
1,-77.34,0.0
2,-42.59,0.0
3,-53.19,0.0